First-principles (PBE-GGA) data for a relaxed InOsBr2 crystal, as listed in the Alexandria database.

Computed properties:
Crystal system: cubic
Volume (Å³ per cell): 364
Raw formation energy (eV/atom): 1.152
E above lowest polymorph (meV per atom): 970
ρ (kg/m3): 8476
Magnetic moment (μB/cell): 10.3

a b c (Å): 7.1419 7.1419 7.1419
angles (deg): 90.00 90.00 90.00
Space group F-43m (No. 216)
Symmetry-distinct sites (fractional):
In: 0.0000 0.0000 0.0000
Os: 0.2500 0.2500 0.7500
Br: 0.0000 0.0000 0.5000
Br: 0.2500 0.2500 0.2500



First-principles (PBE-GGA) data for a relaxed HfAl5Pd6 crystal, as listed in the Alexandria database.

Computed properties:
Crystal system: orthorhombic
Volume (Å³ per cell): 367
ρ (kg/m3): 8619
Total DFT energy (no corrections) (eV/cell): -139.4
Magnetic moment (μB/cell): 0.0

a b c (Å): 4.3946 6.3490 13.1457
angles (deg): 90.00 90.00 90.00
Space group Immm (No. 71)
Symmetry-distinct sites (fractional):
Hf: 0.0000 0.0000 0.0000
Al: 0.0000 0.0000 0.3320
Al: 0.0000 0.5000 0.0000
Al: 0.0000 0.5000 0.3354
Pd: 0.0000 0.2359 0.5000
Pd: 0.0000 0.2558 0.1697



First-principles (PBE-GGA) data for a relaxed LiSiAs crystal, as listed in the Alexandria database.

Computed properties:
Crystal system: cubic
Volume (Å³ per cell): 202
Raw formation energy (eV/atom): 0.073
E above lowest polymorph (meV per atom): 285
ρ (kg/m3): 3623
Magnetic moment (μB/cell): 0.0

a b c (Å): 5.8634 5.8634 5.8634
angles (deg): 90.00 90.00 90.00
Space group F-43m (No. 216)
Symmetry-distinct sites (fractional):
Li: 0.0000 0.0000 0.0000
Si: 0.2500 0.2500 0.7500
As: 0.2500 0.2500 0.2500



First-principles (PBE-GGA) data for a relaxed LiGaSn crystal, as listed in the Alexandria database.

Computed properties:
Crystal system: monoclinic
Volume (Å³ per cell): 247
ρ (kg/m3): 5247
Total DFT energy (no corrections) (eV/cell): -38.0
Magnetic moment (μB/cell): 0.0

a b c (Å): 10.2990 6.0633 4.3407
angles (deg): 90.00 114.15 90.00
Space group C2/m (No. 12)
Symmetry-distinct sites (fractional):
Li: 0.0000 0.2441 0.0000
Ga: 0.1386 0.0000 0.6393
Sn: 0.1777 0.5000 0.6811



First-principles (PBE-GGA) data for a relaxed PmAgSeO crystal, as listed in the Alexandria database.

Computed properties:
Crystal system: tetragonal
Volume (Å³ per cell): 156
Raw formation energy (eV/atom): -1.923
ρ (kg/m3): 7391
Magnetic moment (μB/cell): 0.0

a b c (Å): 4.0647 4.0647 9.4598
angles (deg): 90.00 90.00 90.00
Space group P4/nmm (No. 129, origin choice 2)
Symmetry-distinct sites (fractional):
Pm: 0.2500 0.2500 0.1224
Ag: 0.2500 0.7500 0.5000
Se: 0.2500 0.2500 0.7037
O: 0.2500 0.7500 0.0000



First-principles (PBE-GGA) data for a relaxed Mg2TaFe crystal, as listed in the Alexandria database.

Computed properties:
Crystal system: orthorhombic
Volume (Å³ per cell): 65
E above lowest polymorph (meV per atom): 215
ρ (kg/m3): 7332
Magnetic moment (μB/cell): 0.0

a b c (Å): 3.2586 4.2113 4.7101
angles (deg): 90.00 90.00 90.00
Space group Pmmm (No. 47)
Symmetry-distinct sites (fractional):
Mg: 0.0000 0.0000 0.0000
Mg: 0.5000 0.5000 0.0000
Ta: 0.0000 0.5000 0.5000
Fe: 0.5000 0.0000 0.5000



Question: The highest volume belongs to which entry?
Answer: HfAl5Pd6